# 1
Crystalline KErVO4 at its relaxed geometry. Source: Alexandria, functional PBE with a Hubbard U.

Output
final energy: -100.7 eV/cell

Lattice parameters (Å, degrees): 5.6843 5.7578 7.9911 90.00 107.06 90.00
Last column: nearest neighbours and their distance in Å.
Atoms (fractional coordinates):
K  0.1268  0.2500  0.1453  4 O 2.64-2.75
K  0.8732  0.7500  0.8547  4 O 2.64-2.75
Er  0.2940  0.7500  0.4672  6 O 2.23-2.36
Er  0.7060  0.2500  0.5328  6 O 2.23-2.36
V  0.2621  0.2500  0.6793  4 O 1.79-1.85
V  0.7379  0.7500  0.3207  4 O 1.79-1.85
O  0.0307  0.2500  0.7908  1 V 1.79
O  0.0526  0.2500  0.4563  1 V 1.83
O  0.4780  0.0138  0.6700  1 V 1.85
O  0.4780  0.4862  0.6700  1 V 1.85
O  0.5220  0.5138  0.3300  1 V 1.85
O  0.5220  0.9862  0.3300  1 V 1.85
O  0.9474  0.7500  0.5437  1 V 1.83
O  0.9693  0.7500  0.2092  1 V 1.79

=====

# 2
Crystalline KErV2O6 at its relaxed geometry. Source: Alexandria, functional PBE with a Hubbard U.

Output
final energy: -73.0 eV/cell

Lattice parameters (Å, degrees): 6.3922 6.3922 6.3922 50.87 50.87 50.87
Last column: nearest neighbours and their distance in Å.
Atoms (fractional coordinates):
K  0.0000  0.0000  0.0000  6 O 2.70
Er  0.5000  0.5000  0.5000  6 O 2.25
V  0.3218  0.3218  0.3218  6 O 1.92-2.07
V  0.6782  0.6782  0.6782  6 O 1.92-2.07
O  0.0799  0.5079  0.6213  2 V 1.92-2.07
O  0.3787  0.9201  0.4921  2 V 1.92-2.07
O  0.4921  0.3787  0.9201  2 V 1.92-2.07
O  0.5079  0.6213  0.0799  2 V 1.92-2.07
O  0.6213  0.0799  0.5079  2 V 1.92-2.07
O  0.9201  0.4921  0.3787  2 V 1.92-2.07

=====

# 3
Crystalline KErV2O8 at its relaxed geometry. Source: Alexandria, functional PBE with a Hubbard U.

Output
final energy: -83.9 eV/cell

Lattice parameters (Å, degrees): 5.8838 5.8838 7.6552 90.00 90.00 120.00
Last column: nearest neighbours and their distance in Å.
Atoms (fractional coordinates):
K  0.0000  0.0000  0.0000  6 O 3.00
Er  0.0000  0.0000  0.5000  6 O 2.22
V  0.3333  0.6667  0.2467  4 O 1.71-1.75
V  0.6667  0.3333  0.7533  4 O 1.71-1.75
O  0.1711  0.3421  0.3197  1 V 1.75
O  0.1711  0.8289  0.3197  1 V 1.75
O  0.3333  0.6667  0.0230  1 V 1.71
O  0.3421  0.1711  0.6803  1 V 1.75
O  0.6579  0.8289  0.3197  1 V 1.75
O  0.6667  0.3333  0.9770  1 V 1.71
O  0.8289  0.1711  0.6803  1 V 1.75
O  0.8289  0.6579  0.6803  1 V 1.75

=====

# 4
Crystalline K2ErVO4 at its relaxed geometry. Source: Alexandria, functional PBE with a Hubbard U.

Output
final energy: -51.0 eV/cell

Lattice parameters (Å, degrees): 5.6895 5.6895 5.6895 114.96 114.96 98.98
Last column: nearest neighbours and their distance in Å.
Atoms (fractional coordinates):
K  0.0000  0.0000  0.0000  8 O 2.95-2.99
K  0.7500  0.2500  0.5000  4 O 2.69
Er  0.5000  0.5000  0.0000  4 O 2.14
V  0.2500  0.7500  0.5000  4 O 1.90
O  0.1827  0.0858  0.6169  1 V 1.90
O  0.4341  0.8173  0.9030  1 V 1.90
O  0.4689  0.5659  0.3831  1 V 1.90
O  0.9142  0.5311  0.0970  1 V 1.90

=====

# 5
Crystalline KErW2O8 at its relaxed geometry. Source: Alexandria, functional PBE with a Hubbard U.

Output
final energy: -178.1 eV/cell

Lattice parameters (Å, degrees): 7.6360 7.6360 7.4398 118.01 118.01 87.73
Last column: nearest neighbours and their distance in Å.
Atoms (fractional coordinates):
K  0.2103  0.7897  0.7500  10 O 2.85-3.05
K  0.7897  0.2103  0.2500  10 O 2.85-3.05
Er  0.2239  0.7761  0.2500  6 O 2.24-2.28
Er  0.7761  0.2239  0.7500  6 O 2.24-2.28
W  0.2988  0.3076  0.2873  4 O 1.83-2.03
W  0.3076  0.2988  0.7873  4 O 1.83-2.03
W  0.6924  0.7012  0.2127  4 O 1.83-2.03
W  0.7012  0.6924  0.7127  4 O 1.83-2.03
O  0.0385  0.2335  0.6928  1 W 1.83
O  0.0527  0.3565  0.1186  1 W 1.85
O  0.2335  0.0385  0.1928  1 W 1.83
O  0.2465  0.3764  0.5575  2 W 1.92-2.05
O  0.3565  0.0527  0.6186  1 W 1.85
O  0.3734  0.5966  0.0380  2 W 2.03-2.11
O  0.3764  0.2465  0.0575  2 W 1.92-2.05
O  0.4034  0.6266  0.4620  2 W 2.03-2.11
O  0.5966  0.3734  0.5380  2 W 2.03-2.11
O  0.6236  0.7535  0.9425  2 W 1.92-2.05
O  0.6266  0.4034  0.9620  2 W 2.03-2.11
O  0.6435  0.9473  0.3814  1 W 1.85
O  0.7535  0.6236  0.4425  2 W 1.92-2.05
O  0.7665  0.9615  0.8072  1 W 1.83
O  0.9473  0.6435  0.8814  1 W 1.85
O  0.9615  0.7665  0.3072  1 W 1.83

=====

# 6
Crystalline K3Er3WO8 at its relaxed geometry. Source: Alexandria, functional PBE with a Hubbard U.

Output
final energy: -103.7 eV/cell

Lattice parameters (Å, degrees): 6.7834 6.7834 7.4044 117.27 117.27 59.56
Last column: nearest neighbours and their distance in Å.
Atoms (fractional coordinates):
K  0.0000  0.0000  0.0000  6 O 2.79-2.82
K  0.0000  0.5000  0.0000  6 O 2.79-2.81
K  0.5000  0.0000  0.0000  6 O 2.79-2.81
Er  0.0000  0.5000  0.5000  6 O 2.26-2.30
Er  0.5000  0.0000  0.5000  6 O 2.26-2.30
Er  0.5000  0.5000  0.5000  6 O 2.26-2.30
W  0.0000  0.0000  0.5000  6 O 2.11-2.18
O  0.2111  0.7476  0.6717  1 W 2.11, 2 Er 2.30
O  0.2181  0.2181  0.6741  1 W 2.18, 2 Er 2.27
O  0.2524  0.7889  0.3283  1 W 2.11, 2 Er 2.30
O  0.2745  0.2745  0.3198  3 Er 2.26
O  0.7255  0.7255  0.6802  3 Er 2.26
O  0.7476  0.2111  0.6717  1 W 2.11, 2 Er 2.30
O  0.7819  0.7819  0.3259  1 W 2.18, 2 Er 2.27
O  0.7889  0.2524  0.3283  1 W 2.11, 2 Er 2.30

=====

Among the records above, which one has the highest final energy? K2ErVO4

=====

final energy of number 6 (K3Er3WO8)? -103.7 eV/cell